Material: Pm2Pr5Ho6
Method: DFT, PBE-GGA
State: optimized geometry

Total DFT energy (no corrections)   -59.65 eV per formula unit
ΔH_f (0 K)   0.0934 eV/atom
Density of states at the Fermi level   32.67 states/eV/cell

Geometry as CIF:
```
data_Pm2Pr5Ho6
_space_group_name_H-M_alt 'P b a m'
_space_group_IT_number 55
_cell_length_a 11.763
_cell_length_b 20.704
_cell_length_c 3.624
_cell_angle_alpha 90.00
_cell_angle_beta 90.00
_cell_angle_gamma 90.00
loop_
_space_group_symop_operation_xyz
'x,y,z'
'-x,-y,-z'
'-x,-y,z'
'x,y,-z'
'x+1/2,-y+1/2,-z'
'-x+1/2,y+1/2,z'
'-x+1/2,y+1/2,-z'
'x+1/2,-y+1/2,z'
loop_
_atom_site_label
_atom_site_type_symbol
_atom_site_fract_x
_atom_site_fract_y
_atom_site_fract_z
Pm1 Pm 0.175 0.216 0.000
Pr1 Pr 0.000 0.500 0.500
Pr2 Pr 0.082 0.777 0.500
Pr3 Pr 0.200 0.052 0.500
Ho1 Ho 0.062 0.922 0.000
Ho2 Ho 0.076 0.634 0.000
Ho3 Ho 0.180 0.368 0.500
```